Record 1
The following is a PBE-GGA calculation of crystalline Tb2MnTcN5 at its relaxed geometry, from Alexandria via LeMat-Bulk.

Raw formation energy ... -0.726 eV per atom

Unit cell a=3.2403 b=14.0542 c=9.3681 alpha=90.00 beta=90.00 gamma=90.00
Space group Cmc2_1 (No. 36)
Unique sites:
Tb1 0.0000 0.1177 0.0000
Tb2 0.0000 0.1336 0.3752
Mn1 0.0000 0.2181 0.6904
Tc1 0.0000 0.4311 0.1719
N1 0.0000 0.0224 0.7520
N2 0.0000 0.3025 0.0596
N3 0.0000 0.3100 0.3273
N4 0.0000 0.3491 0.6883
N5 0.0000 0.4822 0.9880

Record 2
The following is a PBE-GGA calculation of crystalline Y2NiAu at its relaxed geometry, from Alexandria via LeMat-Bulk.

Formation energy ... -0.9 eV per formula unit

Unit cell a=7.4178 b=7.4178 c=7.1513 alpha=90.00 beta=90.00 gamma=90.00
Space group I-42d (No. 122)
Unique sites:
Y1 0.2229 0.2500 0.1250
Ni1 0.0000 0.0000 0.0000
Au1 0.0000 0.0000 0.5000

Record 3
The following is a PBE-GGA calculation of crystalline NaPI2O at its relaxed geometry, from Alexandria via LeMat-Bulk.

Raw formation energy ... 0.695 eV per atom
Offset from the most stable computed form ... 1.286 eV/atom

Unit cell a=5.6471 b=5.6471 c=4.0724 alpha=90.00 beta=90.00 gamma=90.00
Space group P4/mmm (No. 123)
Unique sites:
Na1 0.0000 0.0000 0.0000
P1 0.5000 0.5000 0.5000
I1 0.0000 0.5000 0.0000
O1 0.0000 0.0000 0.5000

Record 4
The following is a PBE-GGA calculation of crystalline ZnAgBr3 at its relaxed geometry, from Alexandria via LeMat-Bulk.

Raw formation energy ... -0.636 eV per atom
Offset from the most stable computed form ... 0.010 eV/atom

Unit cell a=13.7989 b=12.9331 c=7.0174 alpha=90.00 beta=107.34 gamma=90.00
Space group C2/c (No. 15)
Unique sites:
Zn1 0.2005 0.0832 0.2797
Ag1 0.0000 0.2263 0.7500
Ag2 0.0000 0.3923 0.2500
Br1 0.1157 0.4159 0.6355
Br2 0.1279 0.2426 0.1136
Br3 0.1361 0.0711 0.5739

Record 5
The following is a PBE-GGA calculation of crystalline CsAuSeN2 at its relaxed geometry, from Alexandria via LeMat-Bulk.

Raw formation energy ... 2.435 eV per atom

Unit cell a=4.1973 b=4.1973 c=7.2591 alpha=90.00 beta=90.00 gamma=90.00
Space group P4/mmm (No. 123)
Unique sites:
Cs1 0.0000 0.0000 0.0000
Au1 0.5000 0.5000 0.5000
Se1 0.0000 0.0000 0.5000
N1 0.0000 0.5000 0.0000

Record 6
The following is a PBE-GGA calculation of crystalline K3Np3CoS8 at its relaxed geometry, from Alexandria via LeMat-Bulk.

Raw formation energy ... -1.149 eV per atom

Unit cell a=7.7587 b=7.7587 c=22.6158 alpha=90.00 beta=90.00 gamma=120.00
Space group R-3m (No. 166, hexagonal axes)
Unique sites:
K1 0.0000 0.5000 0.0000
Np1 0.0000 0.5000 0.5000
Co1 0.0000 0.0000 0.5000
S1 0.0000 0.0000 0.2352
S2 0.0215 0.5107 0.2279

Record 7
The following is a PBE-GGA calculation of crystalline LaPm4 at its relaxed geometry, from Alexandria via LeMat-Bulk.

Formation energy ... 2.9 eV per formula unit
Offset from the most stable computed form ... 0.578 eV/atom

Unit cell a=5.7758 b=5.7758 c=5.7758 alpha=90.00 beta=90.00 gamma=90.00
Space group Pm-3m (No. 221)
Unique sites:
La1 0.0000 0.0000 0.0000
Pm1 0.0000 0.0000 0.5000
Pm2 0.5000 0.5000 0.5000

Record 8
The following is a PBE-GGA calculation of crystalline ScPaTi at its relaxed geometry, from Alexandria via LeMat-Bulk.

Formation energy ... 0.5 eV per formula unit
Offset from the most stable computed form ... 0.000 eV/atom

Unit cell a=3.1662 b=3.1662 c=7.6746 alpha=90.00 beta=90.00 gamma=120.00
Space group P3m1 (No. 156)
Unique sites:
Sc1 0.0000 0.0000 0.0000
Pa1 0.3333 0.6667 0.6447
Ti1 0.6667 0.3333 0.3246